[1]
## Mg2CrTc (PBE)

Data for a relaxed Mg2CrTc crystal.

Computed properties:
Raw total energy   -5.404 eV/atom
Formation energy   0.39 eV per atom

Cell: 4.568 2.668 5.299 Å, 75.68 90.00 90.00°
Sites, in units of the cell vectors:
Cr1 0.500 0.750 0.750
Tc1 0.500 0.250 0.250
Mg1 0.000 0.992 0.001
Mg2 0.000 0.508 0.499


[2]
## MgCrTc2 (PBE)

Data for a relaxed MgCrTc2 crystal.

Computed properties:
Raw total energy   -7.803 eV/atom
Formation energy   0.18 eV per atom

Cell: 3.028 3.028 6.435 Å, 90.00 90.00 90.00°
Sites, in units of the cell vectors:
Mg1 0.500 0.500 0.750
Cr1 0.500 0.500 0.250
Tc1 0.000 0.000 0.038
Tc2 0.000 0.000 0.462


[3]
## MgCrTc2 (PBE)

Data for a relaxed MgCrTc2 crystal.

Computed properties:
Raw total energy   -7.743 eV/atom
Formation energy   0.24 eV per atom

Cell: 4.364 2.627 5.089 Å, 79.25 90.00 90.00°
Sites, in units of the cell vectors:
Tc1 0.000 0.045 0.991
Tc2 0.500 0.259 0.257
Cr1 0.000 0.463 0.504
Mg1 0.500 0.733 0.748


[4]
## Mg3CrTc (PBE)

Data for a relaxed Mg3CrTc crystal.

Computed properties:
Raw total energy   -3.889 eV/atom
Formation energy   1.07 eV per atom

Cell: 4.976 4.976 4.976 Å, 90.00 90.00 90.00°
Sites, in units of the cell vectors:
Mg1 0.500 0.000 0.000
Mg2 0.000 0.500 0.000
Mg3 0.000 0.000 0.500
Cr1 0.500 0.500 0.500
Tc1 0.000 0.000 0.000


- The highest formation energy belongs to which entry?
  Mg3CrTc


Copy entry 2 word for word.
## MgCrTc2 (PBE)

Data for a relaxed MgCrTc2 crystal.

Computed properties:
Raw total energy   -7.803 eV/atom
Formation energy   0.18 eV per atom

Cell: 3.028 3.028 6.435 Å, 90.00 90.00 90.00°
Sites, in units of the cell vectors:
Mg1 0.500 0.500 0.750
Cr1 0.500 0.500 0.250
Tc1 0.000 0.000 0.038
Tc2 0.000 0.000 0.462


- Number 1 is which compound?
  Mg2CrTc